{
  "formula": "MoPW",
  "functional": "PBE",
  "state": "optimized geometry",
  "lattice": [[3.4272, 0.0000, 0.0000], [0.0000, 4.6346, 0.0000], [0.0000, 0.0000, 11.2444]],
  "species": ["Mo", "Mo", "Mo", "Mo", "P", "P", "P", "P", "W", "W", "W", "W"],
  "fractional_positions": [[0.0000, 0.0000, 0.0000], [0.0000, 0.5000, 0.5000], [0.5000, 0.0000, 0.5000], [0.5000, 0.5000, 0.0000], [0.0000, 0.0000, 0.6534], [0.0000, 0.5000, 0.1534], [0.5000, 0.0000, 0.1534], [0.5000, 0.5000, 0.6534], [0.0000, 0.0000, 0.3090], [0.0000, 0.5000, 0.8090], [0.5000, 0.0000, 0.8090], [0.5000, 0.5000, 0.3090]],
  "spacegroup": "Fmm2 (42)",
  "m_tot_mub_per_fu": 0.000,
  "delta_e_f_kj_per_mol_fu": 44,
  "dos_ef_per_ev_cell": 9.42
}